1.
# SiS2O, relaxed, DFT GGA-PBE
data_SiS2O
_cell_length_a 2.764
_cell_length_b 2.764
_cell_length_c 24.122
_cell_angle_alpha 90.00
_cell_angle_beta 90.00
_cell_angle_gamma 120.00
_space_group_name_H-M_alt 'P 1'
_space_group_IT_number 1
_space_group_name_Hall 'P 1'
loop_
_atom_site_label
_atom_site_fract_x
_atom_site_fract_y
_atom_site_fract_z
Si1 0.000 0.000 0.000
Si2 0.333 0.667 0.667
Si3 0.667 0.333 0.333
S1 0.000 0.000 0.097
S2 0.000 0.000 0.903
S3 0.333 0.667 0.570
S4 0.333 0.667 0.764
S5 0.667 0.333 0.236
S6 0.667 0.333 0.430
O1 0.000 0.000 0.500
O2 0.333 0.667 0.167
O3 0.667 0.333 0.833
# E_form (uncorrected) ... 822 meV per atom
# Relative energy among the computed polymorphs ... 878 meV/atom
# Space group ... No. 166
# Crystal system ... trigonal
# Total DFT energy (no corrections) ... -3.8373 eV per atom
# Total moment ... 0.00 μB per atom

---

2.
# LaCrTeN2, relaxed, DFT GGA-PBE
data_LaCrTeN2
_cell_length_a 4.215
_cell_length_b 4.215
_cell_length_c 6.917
_cell_angle_alpha 90.00
_cell_angle_beta 90.00
_cell_angle_gamma 90.00
_space_group_name_H-M_alt 'P 1'
_space_group_IT_number 1
_space_group_name_Hall 'P 1'
loop_
_atom_site_label
_atom_site_fract_x
_atom_site_fract_y
_atom_site_fract_z
La1 0.000 0.000 0.000
Cr1 0.500 0.500 0.500
Te1 0.000 0.000 0.500
N1 0.000 0.500 0.000
N2 0.500 0.000 0.000
# E_form (uncorrected) ... 835 meV per atom
# Relative energy among the computed polymorphs ... 743 meV/atom
# Space group ... No. 123
# Crystal system ... tetragonal
# Total DFT energy (no corrections) ... -6.0336 eV per atom
# Total moment ... 0.72 μB per atom

---

3.
# Ca2ZnSe, relaxed, DFT GGA-PBE
data_Ca2ZnSe
_cell_length_a 7.901
_cell_length_b 7.901
_cell_length_c 7.636
_cell_angle_alpha 90.00
_cell_angle_beta 90.00
_cell_angle_gamma 90.00
_space_group_name_H-M_alt 'P 1'
_space_group_IT_number 1
_space_group_name_Hall 'P 1'
loop_
_atom_site_label
_atom_site_fract_x
_atom_site_fract_y
_atom_site_fract_z
Ca1 0.230 0.750 0.125
Ca2 0.250 0.230 0.875
Ca3 0.250 0.270 0.375
Ca4 0.270 0.750 0.625
Ca5 0.730 0.250 0.625
Ca6 0.750 0.730 0.375
Ca7 0.750 0.770 0.875
Ca8 0.770 0.250 0.125
Zn1 0.000 0.000 0.500
Zn2 0.000 0.500 0.750
Zn3 0.500 0.000 0.250
Zn4 0.500 0.500 0.000
Se1 0.000 0.000 0.000
Se2 0.000 0.500 0.250
Se3 0.500 0.000 0.750
Se4 0.500 0.500 0.500
# E_form (uncorrected) ... -751 meV per atom
# Relative energy among the computed polymorphs ... 183 meV/atom
# Space group ... No. 122
# Crystal system ... tetragonal
# Total DFT energy (no corrections) ... -2.9411 eV per atom
# Total moment ... 0.00 μB per atom

---

4.
# CaMoP2N6, relaxed, DFT GGA-PBE
data_CaMoP2N6
_cell_length_a 7.209
_cell_length_b 7.209
_cell_length_c 5.521
_cell_angle_alpha 105.07
_cell_angle_beta 105.07
_cell_angle_gamma 91.37
_space_group_name_H-M_alt 'P 1'
_space_group_IT_number 1
_space_group_name_Hall 'P 1'
loop_
_atom_site_label
_atom_site_fract_x
_atom_site_fract_y
_atom_site_fract_z
Ca1 0.107 0.893 0.750
Ca2 0.893 0.107 0.250
Mo1 0.225 0.775 0.250
Mo2 0.775 0.225 0.750
P1 0.233 0.373 0.809
P2 0.373 0.233 0.309
P3 0.627 0.767 0.691
P4 0.767 0.627 0.191
N1 0.021 0.235 0.698
N2 0.196 0.602 0.926
N3 0.235 0.021 0.198
N4 0.300 0.361 0.548
N5 0.361 0.300 0.048
N6 0.398 0.804 0.574
N7 0.602 0.196 0.426
N8 0.639 0.700 0.952
N9 0.700 0.639 0.452
N10 0.765 0.979 0.802
N11 0.804 0.398 0.074
N12 0.979 0.765 0.302
# E_form (uncorrected) ... -440 meV per atom
# Space group ... No. 15
# Crystal system ... monoclinic
# Total DFT energy (no corrections) ... -7.8006 eV per atom
# Total moment ... 0.00 μB per atom

---

5.
# Y2HgS2, relaxed, DFT GGA-PBE
data_Y2HgS2
_cell_length_a 4.926
_cell_length_b 4.926
_cell_length_c 11.576
_cell_angle_alpha 90.00
_cell_angle_beta 90.00
_cell_angle_gamma 90.00
_space_group_name_H-M_alt 'P 1'
_space_group_IT_number 1
_space_group_name_Hall 'P 1'
loop_
_atom_site_label
_atom_site_fract_x
_atom_site_fract_y
_atom_site_fract_z
Y1 0.000 0.500 0.250
Y2 0.000 0.500 0.750
Y3 0.500 0.000 0.250
Y4 0.500 0.000 0.750
Hg1 0.000 0.000 0.000
Hg2 0.500 0.500 0.500
S1 0.000 0.000 0.343
S2 0.000 0.000 0.657
S3 0.500 0.500 0.157
S4 0.500 0.500 0.843
# E_form (uncorrected) ... -1236 meV per atom
# Relative energy among the computed polymorphs ... 69 meV/atom
# Space group ... No. 139
# Crystal system ... tetragonal
# Total DFT energy (no corrections) ... -5.5331 eV per atom
# Total moment ... 0.00 μB per atom

---

6.
# ZnHg2Ir, relaxed, DFT GGA-PBE
data_ZnHg2Ir
_cell_length_a 4.024
_cell_length_b 4.024
_cell_length_c 8.819
_cell_angle_alpha 90.00
_cell_angle_beta 90.00
_cell_angle_gamma 90.00
_space_group_name_H-M_alt 'P 1'
_space_group_IT_number 1
_space_group_name_Hall 'P 1'
loop_
_atom_site_label
_atom_site_fract_x
_atom_site_fract_y
_atom_site_fract_z
Zn1 0.000 0.000 0.000
Zn2 0.500 0.500 0.500
Hg1 0.000 0.000 0.500
Hg2 0.000 0.500 0.750
Hg3 0.500 0.000 0.250
Hg4 0.500 0.500 0.000
Ir1 0.000 0.500 0.250
Ir2 0.500 0.000 0.750
# Space group ... No. 119
# Crystal system ... tetragonal
# Total DFT energy (no corrections) ... -2.3908 eV per atom
# Energy of formation from the pure elements ... 1.175 eV/f.u.
# Total moment ... 0.00 μB per atom

---

Q: Look up the total DFT energy (no corrections) of the second one.
A: -6.0336 eV per atom

---

Q: Number 5 is which compound?
A: Y2HgS2